{"formula": "Tl2CuPb", "functional": "PBE-GGA", "state": "relaxed", "space_group": "F-43m (216)", "crystal_system": "cubic", "n_ef_per_ev_cell": 3.8, "final_energy_ev_per_atom": -2.817, "delta_e_f_ev_per_atom": 0.32, "lattice": [[0.000, 3.762, 3.762], [3.762, 0.000, 3.762], [3.762, 3.762, 0.000]], "species": ["Tl", "Tl", "Cu", "Pb"], "fractional_positions": [[0.000, 0.000, 0.000], [0.250, 0.250, 0.250], [0.750, 0.750, 0.750], [0.500, 0.500, 0.500]]}

***

{"formula": "TlCuPb", "functional": "PBE-GGA", "state": "relaxed", "space_group": "Pm (6)", "crystal_system": "monoclinic", "n_ef_per_ev_cell": 2.0, "final_energy_ev_per_atom": -3.273, "delta_e_f_ev_per_atom": 0.12, "lattice": [[5.194, 0.000, 0.000], [0.000, 4.263, 0.000], [-0.835, 0.000, 7.102]], "species": ["Tl", "Tl", "Cu", "Cu", "Pb", "Pb"], "fractional_positions": [[0.000, 0.000, 0.000], [0.395, 0.500, 0.689], [0.067, 0.500, 0.321], [0.332, 0.000, 0.368], [0.546, 0.500, 0.171], [0.852, 0.000, 0.518]]}

***

{"formula": "TlCu2Pb", "functional": "PBE-GGA", "state": "relaxed", "space_group": "R-3m (166)", "crystal_system": "trigonal", "n_ef_per_ev_cell": 1.3, "final_energy_ev_per_atom": -3.227, "delta_e_f_ev_per_atom": 0.34, "lattice": [[1.692, 0.977, 8.415], [-1.692, 0.977, 8.415], [0.000, -1.954, 8.415]], "species": ["Tl", "Cu", "Cu", "Pb"], "fractional_positions": [[0.000, 0.000, 0.000], [0.252, 0.252, 0.252], [0.748, 0.748, 0.748], [0.500, 0.500, 0.500]]}

***

{"formula": "TlCu2Pb", "functional": "PBE-GGA", "state": "relaxed", "space_group": "I-4m2 (119)", "crystal_system": "tetragonal", "n_ef_per_ev_cell": 1.7, "final_energy_ev_per_atom": -3.191, "delta_e_f_ev_per_atom": 0.38, "lattice": [[-2.021, 2.021, 5.116], [2.021, -2.021, 5.116], [2.021, 2.021, -5.116]], "species": ["Tl", "Cu", "Cu", "Pb"], "fractional_positions": [[0.000, 0.000, 0.000], [0.250, 0.750, 0.500], [0.500, 0.500, 0.000], [0.750, 0.250, 0.500]]}

***

{"formula": "Tl2CuPb", "functional": "PBE-GGA", "state": "relaxed", "space_group": "I-42d (122)", "crystal_system": "tetragonal", "n_ef_per_ev_cell": 4.2, "final_energy_ev_per_atom": -2.809, "delta_e_f_ev_per_atom": 0.33, "lattice": [[-2.190, 2.190, 11.458], [2.190, -2.190, 11.458], [2.190, 2.190, -11.458]], "species": ["Tl", "Tl", "Tl", "Tl", "Cu", "Cu", "Pb", "Pb"], "fractional_positions": [[0.114, 0.625, 0.990], [0.375, 0.364, 0.490], [0.636, 0.125, 0.010], [0.875, 0.886, 0.510], [0.000, 0.000, 0.000], [0.750, 0.250, 0.500], [0.250, 0.750, 0.500], [0.500, 0.500, 0.000]]}

***

{"formula": "TlCuPb", "functional": "PBE-GGA", "state": "relaxed", "space_group": "Pnma (62)", "crystal_system": "orthorhombic", "n_ef_per_ev_cell": 4.6, "final_energy_ev_per_atom": -3.187, "delta_e_f_ev_per_atom": 0.20, "lattice": [[6.201, 0.000, 0.000], [0.000, 3.434, 0.000], [0.000, 0.000, 14.021]], "species": ["Tl", "Tl", "Tl", "Tl", "Cu", "Cu", "Cu", "Cu", "Pb", "Pb", "Pb", "Pb"], "fractional_positions": [[0.150, 0.250, 0.203], [0.350, 0.750, 0.703], [0.650, 0.250, 0.297], [0.850, 0.750, 0.797], [0.008, 0.250, 0.645], [0.492, 0.750, 0.145], [0.508, 0.250, 0.855], [0.992, 0.750, 0.355], [0.249, 0.250, 0.471], [0.251, 0.750, 0.971], [0.749, 0.250, 0.029], [0.751, 0.750, 0.529]]}

***

{"formula": "TlCu2Pb", "functional": "PBE-GGA", "state": "relaxed", "space_group": "Imm2 (44)", "crystal_system": "orthorhombic", "n_ef_per_ev_cell": 1.6, "final_energy_ev_per_atom": -3.293, "delta_e_f_ev_per_atom": 0.27, "lattice": [[-1.624, 2.230, 5.899], [1.624, -2.230, 5.899], [1.624, 2.230, -5.899]], "species": ["Tl", "Cu", "Cu", "Pb"], "fractional_positions": [[0.000, 0.000, 0.000], [0.316, 0.816, 0.500], [0.478, 0.478, 0.000], [0.723, 0.223, 0.500]]}

***

{"formula": "Tl2CuPb", "functional": "PBE-GGA", "state": "relaxed", "space_group": "Cmmm (65)", "crystal_system": "orthorhombic", "n_ef_per_ev_cell": 1.9, "final_energy_ev_per_atom": -2.829, "delta_e_f_ev_per_atom": 0.31, "lattice": [[3.354, -4.505, 0.000], [3.354, 4.505, 0.000], [0.000, 0.000, 3.514]], "species": ["Tl", "Tl", "Cu", "Pb"], "fractional_positions": [[0.000, 0.500, 0.000], [0.500, 0.000, 0.000], [0.000, 0.000, 0.500], [0.500, 0.500, 0.500]]}

***

{"formula": "Tl2CuPb", "functional": "PBE-GGA", "state": "relaxed", "space_group": "P4/mmm (123)", "crystal_system": "tetragonal", "n_ef_per_ev_cell": 1.8, "final_energy_ev_per_atom": -2.845, "delta_e_f_ev_per_atom": 0.29, "lattice": [[4.438, 0.000, 0.000], [0.000, 4.438, 0.000], [0.000, 0.000, 5.371]], "species": ["Tl", "Tl", "Cu", "Pb"], "fractional_positions": [[0.000, 0.500, 0.000], [0.500, 0.000, 0.000], [0.000, 0.000, 0.500], [0.500, 0.500, 0.500]]}

***

{"formula": "TlCuPb", "functional": "PBE-GGA", "state": "relaxed", "space_group": "P6_3/mmc (194)", "crystal_system": "hexagonal", "n_ef_per_ev_cell": 2.7, "final_energy_ev_per_atom": -2.890, "delta_e_f_ev_per_atom": 0.50, "lattice": [[5.354, 0.000, 0.000], [-2.677, 4.637, 0.000], [0.000, 0.000, 6.208]], "species": ["Tl", "Tl", "Cu", "Cu", "Pb", "Pb"], "fractional_positions": [[0.333, 0.667, 0.250], [0.667, 0.333, 0.750], [0.000, 0.000, 0.000], [0.000, 0.000, 0.500], [0.333, 0.667, 0.750], [0.667, 0.333, 0.250]]}

***

{"formula": "Tm3CuPb", "functional": "PBE-GGA", "state": "relaxed", "space_group": "C2/m (12)", "crystal_system": "monoclinic", "n_ef_per_ev_cell": 7.1, "final_energy_ev_per_atom": -4.546, "delta_e_f_ev_per_atom": -0.30, "lattice": [[11.269, -2.298, 0.000], [11.269, 2.298, 0.000], [-0.015, 0.000, 4.848]], "species": ["Tm", "Tm", "Tm", "Tm", "Tm", "Tm", "Cu", "Cu", "Pb", "Pb"], "fractional_positions": [[0.053, 0.053, 0.250], [0.171, 0.171, 0.750], [0.323, 0.323, 0.746], [0.677, 0.677, 0.254], [0.829, 0.829, 0.250], [0.947, 0.947, 0.750], [0.250, 0.250, 0.236], [0.750, 0.750, 0.764], [0.433, 0.433, 0.249], [0.567, 0.567, 0.751]]}

***

{"formula": "Tm5Cu4Pb", "functional": "PBE-GGA", "state": "relaxed", "space_group": "P4/mmm (123)", "crystal_system": "tetragonal", "n_ef_per_ev_cell": 5.2, "final_energy_ev_per_atom": -4.544, "delta_e_f_ev_per_atom": -0.30, "lattice": [[3.385, 0.000, 0.000], [0.000, 3.385, 0.000], [0.000, 0.000, 18.791]], "species": ["Tm", "Tm", "Tm", "Tm", "Tm", "Cu", "Cu", "Cu", "Cu", "Pb"], "fractional_positions": [[0.000, 0.000, 0.000], [0.000, 0.000, 0.185], [0.000, 0.000, 0.370], [0.000, 0.000, 0.630], [0.000, 0.000, 0.815], [0.500, 0.500, 0.094], [0.500, 0.500, 0.279], [0.500, 0.500, 0.721], [0.500, 0.500, 0.906], [0.500, 0.500, 0.500]]}